[1]
VASP calculation (GGA-PBE) on crystalline BAu2O at its relaxed geometry. Values from VASP.

Space group: Fm-3m (225)
Distance to the lowest polymorph of the same formula: 344 meV/atom
E_form (uncorrected): 0.8053 eV/atom

Quantum ESPRESSO input file:
```
&SYSTEM
  ibrav = 0, nat = 4, ntyp = 3
/
ATOMIC_SPECIES
B 10.81 B.upf
Au 196.97 Au.upf
O 16.00 O.upf
CELL_PARAMETERS angstrom
0.0000 2.9267 2.9267
2.9267 0.0000 2.9267
2.9267 2.9267 0.0000
ATOMIC_POSITIONS crystal
B 0.0000 0.0000 0.0000
Au 0.2500 0.2500 0.2500
Au 0.7500 0.7500 0.7500
O 0.5000 0.5000 0.5000
```

***

[2]
VASP calculation (GGA-PBE) on crystalline BAu2O at its relaxed geometry. Values from VASP.

Space group: I-42d (122)
Distance to the lowest polymorph of the same formula: 0 meV/atom
E_form (uncorrected): 0.4617 eV/atom

Quantum ESPRESSO input file:
```
&SYSTEM
  ibrav = 0, nat = 8, ntyp = 3
/
ATOMIC_SPECIES
B 10.81 B.upf
Au 196.97 Au.upf
O 16.00 O.upf
CELL_PARAMETERS angstrom
5.5586 0.0000 0.0000
0.0000 5.5586 0.0000
2.7793 2.7793 3.8725
ATOMIC_POSITIONS crystal
B 0.5000 0.5000 0.0000
B 0.2500 0.7500 0.5000
Au 0.5996 0.1250 0.2500
Au 0.1504 0.6250 0.2500
Au 0.3750 0.4004 0.7500
Au 0.8750 0.8496 0.7500
O 0.0000 0.0000 0.0000
O 0.7500 0.2500 0.5000
```

***

[3]
VASP calculation (GGA-PBE) on crystalline B2AuO at its relaxed geometry. Values from VASP.

Space group: I-42d (122)
E_form (uncorrected): 0.3409 eV/atom

Quantum ESPRESSO input file:
```
&SYSTEM
  ibrav = 0, nat = 8, ntyp = 3
/
ATOMIC_SPECIES
B 10.81 B.upf
Au 196.97 Au.upf
O 16.00 O.upf
CELL_PARAMETERS angstrom
4.6274 0.0000 0.0000
0.0000 4.6274 0.0000
2.3137 2.3137 3.9316
ATOMIC_POSITIONS crystal
B 0.5469 0.1250 0.2500
B 0.2031 0.6250 0.2500
B 0.3750 0.4531 0.7500
B 0.8750 0.7969 0.7500
Au 0.0000 0.0000 0.0000
Au 0.7500 0.2500 0.5000
O 0.5000 0.5000 0.0000
O 0.2500 0.7500 0.5000
```

***

[4]
VASP calculation (GGA-PBE) on crystalline BPAuO2 at its relaxed geometry. Values from VASP.

Space group: P4/mmm (123)
Distance to the lowest polymorph of the same formula: 0 meV/atom
E_form (uncorrected): 0.0815 eV/atom

Quantum ESPRESSO input file:
```
&SYSTEM
  ibrav = 0, nat = 5, ntyp = 4
/
ATOMIC_SPECIES
P 30.97 P.upf
B 10.81 B.upf
Au 196.97 Au.upf
O 16.00 O.upf
CELL_PARAMETERS angstrom
-0.9553 1.0739 2.9165
-2.8307 -1.5603 -0.3527
2.7774 -5.7207 3.0163
ATOMIC_POSITIONS crystal
P 0.0000 0.0000 0.5000
B 0.0000 0.0000 0.0000
Au 0.5000 0.5000 0.5000
O 0.0000 0.5000 0.0000
O 0.5000 0.0000 0.0000
```

***

[5]
VASP calculation (GGA-PBE) on crystalline BPAuO2 at its relaxed geometry. Values from VASP.

Space group: P4/mmm (123)
Distance to the lowest polymorph of the same formula: 1304 meV/atom
E_form (uncorrected): 1.3853 eV/atom

Quantum ESPRESSO input file:
```
&SYSTEM
  ibrav = 0, nat = 5, ntyp = 4
/
ATOMIC_SPECIES
P 30.97 P.upf
B 10.81 B.upf
Au 196.97 Au.upf
O 16.00 O.upf
CELL_PARAMETERS angstrom
-0.6955 -3.6421 -1.1266
2.4662 0.4435 -2.9562
3.9108 -1.6782 3.0108
ATOMIC_POSITIONS crystal
P 0.0000 0.0000 0.5000
B 0.5000 0.5000 0.5000
Au 0.0000 0.0000 0.0000
O 0.0000 0.5000 0.0000
O 0.5000 0.0000 0.0000
```

***

[6]
VASP calculation (GGA-PBE) on crystalline PaB2AuO8 at its relaxed geometry. Values from VASP.

Space group: C2/m (12)
E_form (uncorrected): -1.8112 eV/atom

Quantum ESPRESSO input file:
```
&SYSTEM
  ibrav = 0, nat = 12, ntyp = 4
/
ATOMIC_SPECIES
Pa 231.04 Pa.upf
B 10.81 B.upf
Au 196.97 Au.upf
O 16.00 O.upf
CELL_PARAMETERS angstrom
5.1190 0.0000 0.0000
2.5595 4.5064 0.4358
2.5595 2.0846 5.3466
ATOMIC_POSITIONS crystal
Pa 0.5000 0.5000 0.5000
B 0.2944 0.2566 0.1545
B 0.7056 0.7434 0.8455
Au 0.0000 0.0000 0.0000
O 0.8811 0.5042 0.7335
O 0.6472 0.5830 0.1227
O 0.1189 0.4958 0.2665
O 0.3528 0.4170 0.8773
O 0.5877 0.0210 0.2618
O 0.4123 0.9790 0.7382
O 0.1294 0.0210 0.2618
O 0.8706 0.9790 0.7382
```

***

[7]
VASP calculation (GGA-PBE) on crystalline PaBAuO6 at its relaxed geometry. Values from VASP.

Space group: P1 (1)
E_form (uncorrected): -1.8069 eV/atom

Quantum ESPRESSO input file:
```
&SYSTEM
  ibrav = 0, nat = 9, ntyp = 4
/
ATOMIC_SPECIES
Pa 231.04 Pa.upf
B 10.81 B.upf
Au 196.97 Au.upf
O 16.00 O.upf
CELL_PARAMETERS angstrom
-2.8490 1.9675 -3.9678
1.3764 -1.5443 -5.3903
-5.0341 -2.8778 0.2638
ATOMIC_POSITIONS crystal
Pa 0.7716 0.6622 0.4986
B 0.5333 0.2943 0.4733
Au 0.9679 0.0367 0.9796
O 0.9278 0.3714 0.1699
O 0.3055 0.9760 0.6850
O 0.6227 0.3917 0.6418
O 0.8785 0.7843 0.8105
O 0.2711 0.4603 0.4271
O 0.7213 0.0232 0.3140
```

***

[8]
VASP calculation (GGA-PBE) on crystalline PmBAu2O6 at its relaxed geometry. Values from VASP.

Space group: C2/c (15)
E_form (uncorrected): -1.3997 eV/atom

Quantum ESPRESSO input file:
```
&SYSTEM
  ibrav = 0, nat = 20, ntyp = 4
/
ATOMIC_SPECIES
Pm 145.00 Pm.upf
B 10.81 B.upf
Au 196.97 Au.upf
O 16.00 O.upf
CELL_PARAMETERS angstrom
-2.7357 -3.8486 5.6016
4.7037 -3.9311 3.1114
3.0641 1.4207 5.9877
ATOMIC_POSITIONS crystal
Pm 0.2500 0.7041 0.2959
Pm 0.7500 0.2959 0.7041
B 0.2500 0.1954 0.8046
B 0.7500 0.8046 0.1954
Au 0.4128 0.7882 0.6616
Au 0.0872 0.3384 0.2118
Au 0.5872 0.2118 0.3384
Au 0.9128 0.6616 0.7882
O 0.2467 0.9491 0.8686
O 0.2533 0.1314 0.0509
O 0.7533 0.0509 0.1314
O 0.7467 0.8686 0.9491
O 0.5684 0.6994 0.3844
O 0.9316 0.6156 0.3006
O 0.4316 0.3006 0.6156
O 0.0684 0.3844 0.6994
O 0.1555 0.8365 0.5858
O 0.3445 0.4142 0.1635
O 0.8445 0.1635 0.4142
O 0.6555 0.5858 0.8365
```

***

[9]
VASP calculation (GGA-PBE) on crystalline Rb2BAuO at its relaxed geometry. Values from VASP.

Space group: P4/mmm (123)
E_form (uncorrected): 0.4321 eV/atom

Quantum ESPRESSO input file:
```
&SYSTEM
  ibrav = 0, nat = 5, ntyp = 4
/
ATOMIC_SPECIES
B 10.81 B.upf
Au 196.97 Au.upf
O 16.00 O.upf
Rb 85.47 Rb.upf
CELL_PARAMETERS angstrom
5.9218 0.0000 0.0000
0.0000 4.0499 0.0000
0.0000 0.0000 5.9218
ATOMIC_POSITIONS crystal
B 0.5000 0.5000 0.5000
Au 0.0000 0.5000 0.0000
O 0.0000 0.0000 0.0000
Rb 0.0000 0.0000 0.5000
Rb 0.5000 0.0000 0.0000
```

***

[10]
VASP calculation (GGA-PBE) on crystalline BRhAuO2 at its relaxed geometry. Values from VASP.

Space group: P4/mmm (123)
E_form (uncorrected): 0.4943 eV/atom

Quantum ESPRESSO input file:
```
&SYSTEM
  ibrav = 0, nat = 5, ntyp = 4
/
ATOMIC_SPECIES
Rh 102.91 Rh.upf
B 10.81 B.upf
Au 196.97 Au.upf
O 16.00 O.upf
CELL_PARAMETERS angstrom
3.5577 0.0000 0.0000
0.0000 4.4841 0.0000
0.0000 0.0000 3.5577
ATOMIC_POSITIONS crystal
Rh 0.0000 0.5000 0.0000
B 0.0000 0.0000 0.0000
Au 0.5000 0.5000 0.5000
O 0.0000 0.0000 0.5000
O 0.5000 0.0000 0.0000
```

***

[11]
VASP calculation (GGA-PBE) on crystalline BAuSO2 at its relaxed geometry. Values from VASP.

Space group: P4/mmm (123)
E_form (uncorrected): 1.3392 eV/atom

Quantum ESPRESSO input file:
```
&SYSTEM
  ibrav = 0, nat = 5, ntyp = 4
/
ATOMIC_SPECIES
S 32.06 S.upf
B 10.81 B.upf
Au 196.97 Au.upf
O 16.00 O.upf
CELL_PARAMETERS angstrom
3.9088 0.0000 0.0000
0.0000 5.2288 0.0000
0.0000 0.0000 3.9088
ATOMIC_POSITIONS crystal
S 0.0000 0.5000 0.0000
B 0.5000 0.5000 0.5000
Au 0.0000 0.0000 0.0000
O 0.0000 0.0000 0.5000
O 0.5000 0.0000 0.0000
```

***

[12]
VASP calculation (GGA-PBE) on crystalline UBAuO6 at its relaxed geometry. Values from VASP.

Space group: P1 (1)
E_form (uncorrected): -1.8031 eV/atom

Quantum ESPRESSO input file:
```
&SYSTEM
  ibrav = 0, nat = 9, ntyp = 4
/
ATOMIC_SPECIES
U 238.03 U.upf
B 10.81 B.upf
Au 196.97 Au.upf
O 16.00 O.upf
CELL_PARAMETERS angstrom
-2.7814 4.5597 -0.3294
-5.2621 -0.5153 -1.2695
-0.4320 0.7547 5.1304
ATOMIC_POSITIONS crystal
U 0.6623 0.6852 0.5232
B 0.5172 0.3058 0.4284
Au 0.9668 0.0218 0.0105
O 0.9844 0.3441 0.2642
O 0.3048 0.9820 0.7636
O 0.5767 0.3666 0.6732
O 0.9253 0.7332 0.7513
O 0.4208 0.5346 0.3094
O 0.6414 0.0268 0.2761
```